# Tb2HoSc3As6 PBE optimized geometry
# Final energy (eV/atom): -6.505
# Formation energy from the elements (eV/f.u.): -17.3
data_Tb2HoSc3As6
_chemical_formula_sum 'Tb4 Ho2 Sc6 As12'
_symmetry_space_group_name_H-M 'C 1 2/m 1'
_symmetry_Int_Tables_number 12
_cell_length_a 6.945
_cell_length_b 12.029
_cell_length_c 6.920
_cell_angle_alpha 90.00
_cell_angle_beta 109.52
_cell_angle_gamma 90.00
loop_
_symmetry_equiv_pos_as_xyz
'x,y,z'
'-x,-y,-z'
'-x,y,-z'
'x,-y,z'
'x+1/2,y+1/2,z'
'-x+1/2,-y+1/2,-z'
'-x+1/2,y+1/2,-z'
'x+1/2,-y+1/2,z'
loop_
_atom_site_label
_atom_site_type_symbol
_atom_site_fract_x
_atom_site_fract_y
_atom_site_fract_z
Tb1 Tb 0.000 0.167 0.000
Ho1 Ho 0.000 0.500 0.000
Sc1 Sc 0.000 0.000 0.500
Sc2 Sc 0.000 0.333 0.500
As1 As 0.243 0.500 0.734
As2 As 0.246 0.166 0.735